# 1
This record from Alexandria describes a relaxed BaZn3Tc crystal. The functional is PBE.

extended XYZ file:
```
5
Lattice="4.962 0.000 0.000 0.000 4.962 0.000 0.000 0.000 4.962" Properties=species:S:1:pos:R:3 pbc="T T T"
Zn 0.000 2.481 0.000
Zn 0.000 0.000 2.481
Zn 2.481 0.000 0.000
Ba 2.481 2.481 2.481
Tc 0.000 0.000 0.000
```

- Space group: Pm-3m
- Polymorph energy (0 for the lowest one): 0.0 meV/atom

---

# 2
This record from Alexandria describes a relaxed YHo3Ir3 crystal. The functional is PBE.

extended XYZ file:
```
7
Lattice="5.572 0.015 -1.975 -2.772 4.792 -1.962 -0.009 0.015 5.912" Properties=species:S:1:pos:R:3 pbc="T T T"
Y -1.394 2.411 -0.987
Ho 2.774 0.025 -0.994
Ho 1.387 2.430 0.981
Ho -0.014 0.025 2.947
Ir 1.390 2.421 -1.976
Ir 2.771 0.032 1.961
Ir -1.401 2.421 1.969
```

- Space group: R-3m

---

Table of uncorrected energy (eV per atom), in record order: -3.145; -7.427
Table of E_form (kJ/mol of formula units), in record order: 37; -502